(1)
DFT (PBE) results for a relaxed structure of ZrZnBi2.

POSCAR file:
```
ZrZnBi2
1.0
3.9323 0.0000 0.0000
0.0000 3.9323 0.0000
0.0000 0.0000 6.3680
Zr Zn Bi
1 1 2
direct
0.0000 0.0000 0.0000
0.0000 0.0000 0.5000
0.5000 0.5000 0.2461
0.5000 0.5000 0.7539
```

## Properties
Spin magnetization (μB/atom): 0.000
Uncorrected energy (Ha/atom): -0.1663
Formation enthalpy at 0 K (eV per formula unit): -0.5


(2)
DFT (PBE) results for a relaxed structure of Zr2Zn2Bi.

POSCAR file:
```
Zr2Zn2Bi
1.0
7.5627 0.0000 0.0000
0.0000 7.5627 0.0000
0.0000 0.0000 3.9055
Zr Zn Bi
4 4 2
direct
0.1512 0.3488 0.0000
0.3488 0.8488 0.0000
0.6512 0.1512 0.0000
0.8488 0.6512 0.0000
0.1420 0.6420 0.5000
0.3580 0.1420 0.5000
0.6420 0.8580 0.5000
0.8580 0.3580 0.5000
0.0000 0.0000 0.0000
0.5000 0.5000 0.0000
```

## Properties
Spin magnetization (μB/atom): 0.000
Uncorrected energy (Ha/atom): -0.1735
Formation enthalpy at 0 K (eV per formula unit): -0.1


(3)
DFT (PBE) results for a relaxed structure of ZrZnBi.

POSCAR file:
```
ZrZnBi
1.0
4.5554 0.0000 0.0000
-2.2777 3.9451 0.0000
0.0000 0.0000 3.8895
Zr Zn Bi
1 1 1
direct
0.0000 0.0000 0.0000
0.3333 0.6667 0.2029
0.6667 0.3333 0.5390
```

## Properties
Spin magnetization (μB/atom): 0.000
Uncorrected energy (Ha/atom): -0.1657
Formation enthalpy at 0 K (eV per formula unit): 0.2


(4)
DFT (PBE) results for a relaxed structure of ZrZnBi2.

POSCAR file:
```
ZrZnBi2
1.0
6.6493 0.0000 0.0000
0.0000 6.6493 0.0000
0.0000 0.0000 12.8516
Zr Zn Bi
4 4 8
direct
0.0000 0.0000 0.0000
0.0000 0.5000 0.2500
0.5000 0.0000 0.7500
0.5000 0.5000 0.5000
0.0000 0.0000 0.5000
0.0000 0.5000 0.7500
0.5000 0.0000 0.2500
0.5000 0.5000 0.0000
0.2362 0.2500 0.6250
0.2500 0.7362 0.8750
0.2500 0.7638 0.3750
0.2638 0.2500 0.1250
0.7362 0.7500 0.1250
0.7500 0.2362 0.3750
0.7500 0.2638 0.8750
0.7638 0.7500 0.6250
```

## Properties
Spin magnetization (μB/atom): 0.000
Uncorrected energy (Ha/atom): -0.1521
Formation enthalpy at 0 K (eV per formula unit): 1.0


(5)
DFT (PBE) results for a relaxed structure of ZrZn2Bi2.

POSCAR file:
```
ZrZn2Bi2
1.0
3.7791 0.0000 0.0000
0.0000 3.7791 0.0000
0.0000 0.0000 17.5099
Zr Zn Bi
2 4 4
direct
0.0000 0.0000 0.0000
0.5000 0.5000 0.5000
0.0000 0.5000 0.2500
0.0000 0.5000 0.7500
0.5000 0.0000 0.2500
0.5000 0.0000 0.7500
0.0000 0.0000 0.4051
0.0000 0.0000 0.5949
0.5000 0.5000 0.0949
0.5000 0.5000 0.9051
```

## Properties
Spin magnetization (μB/atom): 0.000
Uncorrected energy (Ha/atom): -0.1365
Formation enthalpy at 0 K (eV per formula unit): 0.3


(6)
DFT (PBE) results for a relaxed structure of ZrZnBi2.

POSCAR file:
```
ZrZnBi2
1.0
3.4667 0.0000 0.0000
-1.7333 3.0022 0.0000
0.0000 0.0000 31.0832
Zr Zn Bi
3 3 6
direct
0.0000 0.0000 0.0000
0.3333 0.6667 0.6667
0.6667 0.3333 0.3333
0.0000 0.0000 0.5000
0.3333 0.6667 0.1667
0.6667 0.3333 0.8333
0.0000 0.0000 0.0970
0.0000 0.0000 0.9030
0.3333 0.6667 0.5696
0.3333 0.6667 0.7637
0.6667 0.3333 0.2363
0.6667 0.3333 0.4304
```

## Properties
Spin magnetization (μB/atom): 0.000
Uncorrected energy (Ha/atom): -0.1474
Formation enthalpy at 0 K (eV per formula unit): 1.5


(7)
DFT (PBE) results for a relaxed structure of ZrZnBi2.

POSCAR file:
```
ZrZnBi2
1.0
4.2616 0.0000 0.0000
-2.1308 3.6907 0.0000
0.0000 0.0000 21.1376
Zr Zn Bi
3 3 6
direct
0.0000 0.0000 0.0000
0.3333 0.6667 0.6667
0.6667 0.3333 0.3333
0.0000 0.0000 0.1615
0.3333 0.6667 0.8281
0.6667 0.3333 0.4948
0.0000 0.0000 0.4144
0.0000 0.0000 0.5808
0.3333 0.6667 0.0811
0.3333 0.6667 0.2474
0.6667 0.3333 0.7477
0.6667 0.3333 0.9141
```

## Properties
Spin magnetization (μB/atom): 0.000
Uncorrected energy (Ha/atom): -0.1581
Formation enthalpy at 0 K (eV per formula unit): 0.4


(8)
DFT (PBE) results for a relaxed structure of Zr2Zn2Bi.

POSCAR file:
```
Zr2Zn2Bi
1.0
7.1274 0.0000 0.0000
0.0000 7.1274 0.0000
0.0000 0.0000 4.0394
Zr Zn Bi
4 4 2
direct
0.1724 0.3276 0.0000
0.3276 0.8276 0.0000
0.6724 0.1724 0.0000
0.8276 0.6724 0.0000
0.1201 0.6201 0.5000
0.3799 0.1201 0.5000
0.6201 0.8799 0.5000
0.8799 0.3799 0.5000
0.0000 0.0000 0.5000
0.5000 0.5000 0.5000
```

## Properties
Spin magnetization (μB/atom): 0.000
Uncorrected energy (Ha/atom): -0.1790
Formation enthalpy at 0 K (eV per formula unit): -0.8


(9)
DFT (PBE) results for a relaxed structure of ZrZnBi.

POSCAR file:
```
ZrZnBi
1.0
2.5925 1.4968 6.3461
-2.5925 1.4968 6.3461
0.0000 -2.9935 6.3461
Zr Zn Bi
2 2 2
direct
0.0788 0.0788 0.0788
0.9212 0.9212 0.9212
0.2232 0.2232 0.2232
0.7768 0.7768 0.7768
0.3797 0.3797 0.3797
0.6203 0.6203 0.6203
```

## Properties
Spin magnetization (μB/atom): 0.000
Uncorrected energy (Ha/atom): -0.1612
Formation enthalpy at 0 K (eV per formula unit): 0.5


(10)
DFT (PBE) results for a relaxed structure of Zr2Zn2Bi.

POSCAR file:
```
Zr2Zn2Bi
1.0
4.4741 0.0000 0.0000
0.0000 4.4741 0.0000
0.0000 0.0000 11.4227
Zr Zn Bi
4 4 2
direct
0.0000 0.5000 0.2500
0.0000 0.5000 0.7500
0.5000 0.0000 0.2500
0.5000 0.0000 0.7500
0.0000 0.0000 0.1045
0.0000 0.0000 0.8955
0.5000 0.5000 0.3955
0.5000 0.5000 0.6045
0.0000 0.0000 0.5000
0.5000 0.5000 0.0000
```

## Properties
Spin magnetization (μB/atom): 0.000
Uncorrected energy (Ha/atom): -0.1689
Formation enthalpy at 0 K (eV per formula unit): 0.5


(11)
DFT (PBE) results for a relaxed structure of Zr5Bi2.

POSCAR file:
```
Zr5Bi2
1.0
7.9733 -2.8462 0.0000
7.9733 2.8462 0.0000
-0.2304 0.0000 7.3201
Zr Bi
10 4
direct
0.1501 0.8499 0.7500
0.1573 0.4181 0.6781
0.3008 0.5549 0.3930
0.4181 0.1573 0.1781
0.4451 0.6992 0.1070
0.5549 0.3008 0.8930
0.5819 0.8427 0.8219
0.6992 0.4451 0.6070
0.8427 0.5819 0.3219
0.8499 0.1501 0.2500
0.0080 0.2718 0.9614
0.2718 0.0080 0.4614
0.7282 0.9920 0.5386
0.9920 0.7282 0.0386
```

## Properties
Spin magnetization (μB/atom): 0.000
Uncorrected energy (Ha/atom): -0.2731
Formation enthalpy at 0 K (eV per formula unit): -1.5


(12)
DFT (PBE) results for a relaxed structure of ZrBi3.

POSCAR file:
```
ZrBi3
1.0
3.8284 0.0000 0.0000
0.0000 9.6578 0.0000
0.0000 0.0000 6.3037
Zr Bi
2 6
direct
0.0000 0.0000 0.0000
0.5000 0.5000 0.5000
0.0000 0.2948 0.2399
0.0000 0.5000 0.8661
0.0000 0.7052 0.2399
0.5000 0.0000 0.3661
0.5000 0.2052 0.7399
0.5000 0.7948 0.7399
```

## Properties
Spin magnetization (μB/atom): 0.000
Uncorrected energy (Ha/atom): -0.1888
Formation enthalpy at 0 K (eV per formula unit): -0.4


(13)
DFT (PBE) results for a relaxed structure of Zr4Bi.

POSCAR file:
```
Zr4Bi
1.0
5.3596 0.0000 0.0000
0.0000 5.3596 0.0000
0.0000 0.0000 5.3596
Zr Bi
4 1
direct
0.0000 0.0000 0.0000
0.0000 0.5000 0.5000
0.5000 0.0000 0.5000
0.5000 0.5000 0.0000
0.5000 0.5000 0.5000
```

## Properties
Spin magnetization (μB/atom): 0.003
Uncorrected energy (Ha/atom): -0.2426
Formation enthalpy at 0 K (eV per formula unit): 5.1


(14)
DFT (PBE) results for a relaxed structure of ZrBi4.

POSCAR file:
```
ZrBi4
1.0
5.6791 0.0000 0.0000
0.0000 5.6791 0.0000
0.0000 0.0000 5.6791
Zr Bi
1 4
direct
0.0000 0.0000 0.0000
0.0000 0.0000 0.5000
0.0000 0.5000 0.0000
0.5000 0.0000 0.0000
0.5000 0.5000 0.5000
```

## Properties
Spin magnetization (μB/atom): 0.000
Uncorrected energy (Ha/atom): -0.1630
Formation enthalpy at 0 K (eV per formula unit): 1.9


(15)
DFT (PBE) results for a relaxed structure of Zr3Bi5.

POSCAR file:
```
Zr3Bi5
1.0
7.0453 0.0000 0.0000
0.0000 7.0453 0.0000
0.0000 0.0000 17.2469
Zr Bi
12 20
direct
0.0000 0.0000 0.0000
0.0000 0.0000 0.3254
0.0000 0.0000 0.6746
0.0000 0.5000 0.2500
0.0000 0.5000 0.5878
0.0000 0.5000 0.9122
0.5000 0.0000 0.0878
0.5000 0.0000 0.4122
0.5000 0.0000 0.7500
0.5000 0.5000 0.1746
0.5000 0.5000 0.5000
0.5000 0.5000 0.8254
0.1550 0.2677 0.4485
0.1567 0.8051 0.1514
0.1688 0.6688 0.7500
0.1949 0.1567 0.8486
0.2323 0.3450 0.0515
0.2677 0.8450 0.5515
0.3051 0.6567 0.3486
0.3312 0.1688 0.2500
0.3433 0.3051 0.6514
0.3450 0.7677 0.9485
0.6550 0.2323 0.9485
0.6567 0.6949 0.6514
0.6688 0.8312 0.2500
0.6949 0.3433 0.3486
0.7323 0.1550 0.5515
0.7677 0.6550 0.0515
0.8051 0.8433 0.8486
0.8312 0.3312 0.7500
0.8433 0.1949 0.1514
0.8450 0.7323 0.4485
```

## Properties
Spin magnetization (μB/atom): 0.000
Uncorrected energy (Ha/atom): -0.2180
Formation enthalpy at 0 K (eV per formula unit): -2.4


(16)
DFT (PBE) results for a relaxed structure of ZrBi3.

POSCAR file:
```
ZrBi3
1.0
4.1108 0.0000 0.0000
0.0000 11.0217 0.0000
0.0000 0.0000 10.0965
Zr Bi
4 12
direct
0.0000 0.2288 0.2500
0.0000 0.7712 0.7500
0.5000 0.2712 0.7500
0.5000 0.7288 0.2500
0.0000 0.0622 0.7500
0.0000 0.3611 0.5288
0.0000 0.3611 0.9712
0.0000 0.6389 0.0288
0.0000 0.6389 0.4712
0.0000 0.9378 0.2500
0.5000 0.1389 0.0288
0.5000 0.1389 0.4712
0.5000 0.4378 0.2500
0.5000 0.5622 0.7500
0.5000 0.8611 0.5288
0.5000 0.8611 0.9712
```

## Properties
Spin magnetization (μB/atom): 0.000
Uncorrected energy (Ha/atom): -0.1919
Formation enthalpy at 0 K (eV per formula unit): -0.7


(17)
DFT (PBE) results for a relaxed structure of ZrBi3.

POSCAR file:
```
ZrBi3
1.0
4.0595 0.0000 0.0000
0.0000 4.2086 0.0000
0.0000 0.0000 7.2823
Zr Bi
1 3
direct
0.0000 0.0000 0.0000
0.0000 0.5000 0.4827
0.5000 0.0000 0.6808
0.5000 0.5000 0.1095
```

## Properties
Spin magnetization (μB/atom): 0.000
Uncorrected energy (Ha/atom): -0.1838
Formation enthalpy at 0 K (eV per formula unit): 0.2


(18)
DFT (PBE) results for a relaxed structure of Zr4Bi.

POSCAR file:
```
Zr4Bi
1.0
-3.1174 3.1174 6.5808
3.1174 -3.1174 6.5808
3.1174 3.1174 -6.5808
Zr Bi
8 2
direct
0.1576 0.8391 0.9015
0.2439 0.3424 0.1815
0.3391 0.9376 0.6815
0.4376 0.2561 0.5985
0.5624 0.7439 0.4015
0.6609 0.0624 0.3185
0.7561 0.6576 0.8185
0.8424 0.1609 0.0985
0.1250 0.3750 0.7500
0.8750 0.6250 0.2500
```

## Properties
Spin magnetization (μB/atom): 0.000
Uncorrected energy (Ha/atom): -0.2825
Formation enthalpy at 0 K (eV per formula unit): -0.4


(19)
DFT (PBE) results for a relaxed structure of Zr5Bi4.

POSCAR file:
```
Zr5Bi4
1.0
-5.6123 5.6123 1.9449
5.6123 -5.6123 1.9449
5.6123 5.6123 -1.9449
Zr Bi
5 4
direct
0.0000 0.0000 0.0000
0.3114 0.3714 0.6828
0.3714 0.6886 0.0600
0.6286 0.3114 0.9400
0.6886 0.6286 0.3172
0.0524 0.2874 0.3398
0.2874 0.9476 0.2351
0.7126 0.0524 0.7649
0.9476 0.7126 0.6602
```

## Properties
Spin magnetization (μB/atom): 0.000
Uncorrected energy (Ha/atom): -0.2495
Formation enthalpy at 0 K (eV per formula unit): -2.8


(20)
DFT (PBE) results for a relaxed structure of ZrBi4.

POSCAR file:
```
ZrBi4
1.0
6.5815 0.0000 0.0000
0.0000 6.5815 0.0000
0.0000 0.0000 7.1472
Zr Bi
2 8
direct
0.0000 0.0000 0.0000
0.5000 0.5000 0.5000
0.1922 0.1922 0.3518
0.1922 0.8078 0.6482
0.3078 0.3078 0.8518
0.3078 0.6922 0.1482
0.6922 0.3078 0.1482
0.6922 0.6922 0.8518
0.8078 0.1922 0.6482
0.8078 0.8078 0.3518
```

## Properties
Spin magnetization (μB/atom): 0.000
Uncorrected energy (Ha/atom): -0.1797
Formation enthalpy at 0 K (eV per formula unit): -0.4


(21)
DFT (PBE) results for a relaxed structure of Zr3Bi4.

POSCAR file:
```
Zr3Bi4
1.0
15.8777 0.0000 0.0000
0.0000 3.9804 0.0000
-3.2173 0.0000 6.5460
Zr Bi
6 8
direct
0.0000 0.0000 0.0000
0.2416 0.0000 0.2329
0.2584 0.5000 0.7671
0.5000 0.5000 0.0000
0.7416 0.5000 0.2329
0.7584 0.0000 0.7671
0.1170 0.5000 0.3197
0.1176 0.0000 0.7751
0.3824 0.5000 0.2249
0.3830 0.0000 0.6803
0.6170 0.0000 0.3197
0.6176 0.5000 0.7751
0.8824 0.0000 0.2249
0.8830 0.5000 0.6803
```

## Properties
Spin magnetization (μB/atom): 0.000
Uncorrected energy (Ha/atom): -0.2235
Formation enthalpy at 0 K (eV per formula unit): -1.4


(22)
DFT (PBE) results for a relaxed structure of Zr13Bi3.

POSCAR file:
```
Zr13Bi3
1.0
8.5537 0.0000 0.0000
0.0000 4.5722 4.8439
0.0000 -4.5722 4.8439
Zr Bi
13 3
direct
0.0000 0.0000 0.0000
0.0000 0.0058 0.5229
0.0000 0.5229 0.0058
0.0000 0.5230 0.5230
0.2521 0.2586 0.7715
0.2521 0.7715 0.2586
0.2542 0.7511 0.7511
0.5000 0.0220 0.4980
0.5000 0.4980 0.0220
0.5000 0.5126 0.5126
0.7458 0.7511 0.7511
0.7479 0.2586 0.7715
0.7479 0.7715 0.2586
0.2382 0.2759 0.2759
0.5000 0.9834 0.9834
0.7618 0.2759 0.2759
```

## Properties
Spin magnetization (μB/atom): 0.000
Uncorrected energy (Ha/atom): -0.2870
Formation enthalpy at 0 K (eV per formula unit): -2.2


(23)
DFT (PBE) results for a relaxed structure of Zr7Bi.

POSCAR file:
```
Zr7Bi
1.0
0.0000 4.5253 4.5253
4.5253 0.0000 4.5253
4.5253 4.5253 0.0000
Zr Bi
7 1
direct
0.0000 0.0000 0.0000
0.0000 0.0000 0.5000
0.0000 0.5000 0.0000
0.0000 0.5000 0.5000
0.5000 0.0000 0.0000
0.5000 0.0000 0.5000
0.5000 0.5000 0.0000
0.5000 0.5000 0.5000
```

## Properties
Spin magnetization (μB/atom): 0.000
Uncorrected energy (Ha/atom): -0.2962
Formation enthalpy at 0 K (eV per formula unit): -0.8


(24)
DFT (PBE) results for a relaxed structure of ZrBi5.

POSCAR file:
```
ZrBi5
1.0
4.0706 0.0000 0.0000
0.0000 16.9188 0.0000
0.0000 0.0000 5.2752
Zr Bi
2 10
direct
0.0000 0.0000 0.0000
0.5000 0.5000 0.0000
0.0000 0.1552 0.5000
0.0000 0.3533 0.0000
0.0000 0.5000 0.5000
0.0000 0.6467 0.0000
0.0000 0.8448 0.5000
0.5000 0.0000 0.5000
0.5000 0.1467 0.0000
0.5000 0.3448 0.5000
0.5000 0.6552 0.5000
0.5000 0.8533 0.0000
```

## Properties
Spin magnetization (μB/atom): 0.000
Uncorrected energy (Ha/atom): -0.1710
Formation enthalpy at 0 K (eV per formula unit): 0.0